# 1
Below is an optimized crystal structure of La2Ce3NpN6, with properties calculated at the PBE level.

abc: 6.2539 6.2539 6.2162
angles: 99.71 99.71 119.92
Closest atoms and distances in Å follow each position.
Atoms (fractional coordinates):
N  0.7787  0.7787  0.2567  1 Np 2.44, 3 Ce 2.45-2.67, 2 La 2.64
N  0.2213  0.2213  0.7433  1 Np 2.44, 3 Ce 2.45-2.67, 2 La 2.64
Np  0.0000  0.0000  0.0000  6 N 2.37-2.44
La  0.6665  0.3335  0.0000  6 N 2.64
La  0.3335  0.6665  0.0000  6 N 2.64
N  0.0830  0.3827  0.2484  1 Np 2.37, 2 Ce 2.47-2.48, 2 La 2.64
N  0.3827  0.0830  0.2484  1 Np 2.37, 2 Ce 2.47-2.48, 2 La 2.64
Ce  0.8349  0.1651  0.5000  6 N 2.45-2.74
N  0.6173  0.9170  0.7516  1 Np 2.37, 2 Ce 2.47-2.48, 2 La 2.64
N  0.9170  0.6173  0.7516  1 Np 2.37, 2 Ce 2.47-2.48, 2 La 2.64
Ce  0.1651  0.8349  0.5000  6 N 2.45-2.74
Ce  0.5000  0.5000  0.5000  6 N 2.47-2.67

Results
For the magnetic moment, the calculation gives 4.1 μB/cell. For the total energy, the calculation gives -106.90 eV per formula unit. As for the crystal system: monoclinic.

# 2
Below is an optimized crystal structure of Li2Sm2PdO6, with properties calculated at the PBE level.

abc: 5.6101 5.6101 5.9656
angles: 61.95 61.95 60.00
Closest atoms and distances in Å follow each position.
Atoms (fractional coordinates):
O  0.2436  0.7865  0.7263  1 Li 1.76
Li  0.5778  0.5778  0.2665  3 O 1.76
O  0.2436  0.2436  0.7263  1 Li 1.76
O  0.7564  0.7564  0.2737  1 Li 1.76
Li  0.4222  0.4222  0.7335  3 O 1.76
Pd  0.0000  0.0000  0.0000  6 O 2.02
Sm  0.7898  0.7898  0.6305  3 O 2.32
O  0.7865  0.2436  0.7263  1 Li 1.76
Sm  0.2102  0.2102  0.3695  3 O 2.32
O  0.7564  0.2135  0.2737  1 Li 1.76
O  0.2135  0.7564  0.2737  1 Li 1.76

Results
For the magnetic moment, the calculation gives 0.0 μB/cell. For the total energy, the calculation gives -69.73 eV per formula unit. As for the crystal system: trigonal.

# 3
Below is an optimized crystal structure of Mg4Sc5Cd4, with properties calculated at the PBE level.

abc: 4.6794 8.3216 8.3216
angles: 85.47 73.67 73.67
Closest atoms and distances in Å follow each position.
Atoms (fractional coordinates):
Sc  0.3170  0.0845  0.2816  5 Cd 3.02-3.24, 3 Mg 3.24-3.38, 4 Sc 3.31-3.32
Mg  0.6010  0.2887  0.5094  3 Cd 2.88-2.89
Sc  0.5985  0.7184  0.0845  5 Cd 3.02-3.24, 3 Mg 3.24-3.38, 4 Sc 3.31-3.32
Cd  0.9083  0.8501  0.3333  3 Mg 2.88-2.89, 4 Sc 2.92-3.12
Sc  0.4015  0.2816  0.9155  5 Cd 3.02-3.24, 3 Mg 3.24-3.38, 4 Sc 3.31-3.32
Sc  0.0000  0.0000  0.0000  4 Cd 2.92
Mg  0.1104  0.4906  0.2887  3 Cd 2.88-2.89
Cd  0.2416  0.6667  0.8501  3 Mg 2.88-2.89, 4 Sc 2.92-3.12
Mg  0.8896  0.5094  0.7113  3 Cd 2.88-2.89
Sc  0.6830  0.9155  0.7184  5 Cd 3.02-3.24, 3 Mg 3.24-3.38, 4 Sc 3.31-3.32
Mg  0.3990  0.7113  0.4906  3 Cd 2.88-2.89
Cd  0.0917  0.1499  0.6667  3 Mg 2.88-2.89, 4 Sc 2.92-3.12
Cd  0.7584  0.3333  0.1499  3 Mg 2.88-2.89, 4 Sc 2.92-3.12

Results
For the magnetic moment, the calculation gives 0.0 μB/cell. For the total energy, the calculation gives -43.43 eV per formula unit. As for the crystal system: tetragonal. As for the formation energy: -0.1333 eV per atom.